No. 1
{"formula": "Ta2CrCo", "functional": "meta-GGA SCAN", "state": "single point on PBEsol structure", "sg": "R3m", "mass_density_g_cm3": 13.49, "final_energy_ev_per_atom": -41.81, "total_magnetization_mub_per_atom": 0.82, "lattice": [[1.377, 0.795, 8.860], [-1.377, 0.795, 8.860], [0.000, -1.590, 8.860]], "species": ["Ta", "Ta", "Cr", "Co"], "frac_coords": [[0.000, 0.000, 0.000], [0.235, 0.235, 0.235], [0.754, 0.754, 0.754], [0.487, 0.487, 0.487]]}


No. 2
{"formula": "TaCr4Co", "functional": "meta-GGA SCAN", "state": "single point on PBEsol structure", "sg": "F-43m", "mass_density_g_cm3": 10.08, "final_energy_ev_per_atom": -26.00, "total_magnetization_mub_per_atom": 0.00, "lattice": [[0.000, 3.329, 3.329], [3.329, 0.000, 3.329], [3.329, 3.329, 0.000]], "species": ["Ta", "Cr", "Cr", "Cr", "Cr", "Co"], "frac_coords": [[0.000, 0.000, 0.000], [0.121, 0.626, 0.626], [0.626, 0.121, 0.626], [0.626, 0.626, 0.121], [0.626, 0.626, 0.626], [0.250, 0.250, 0.250]]}


What did the second record say?
{"formula": "TaCr4Co", "functional": "meta-GGA SCAN", "state": "single point on PBEsol structure", "sg": "F-43m", "mass_density_g_cm3": 10.08, "final_energy_ev_per_atom": -26.00, "total_magnetization_mub_per_atom": 0.00, "lattice": [[0.000, 3.329, 3.329], [3.329, 0.000, 3.329], [3.329, 3.329, 0.000]], "species": ["Ta", "Cr", "Cr", "Cr", "Cr", "Co"], "frac_coords": [[0.000, 0.000, 0.000], [0.121, 0.626, 0.626], [0.626, 0.121, 0.626], [0.626, 0.626, 0.121], [0.626, 0.626, 0.626], [0.250, 0.250, 0.250]]}


Which formula does entry 2 have? TaCr4Co